1.
# LiAlPb | Alexandria | PBE | optimized geometry
data_LiAlPb
_chemical_formula_sum 'Li2 Al2 Pb2'
_cell_length_a 4.6470
_cell_length_b 4.6470
_cell_length_c 7.4974
_cell_angle_alpha 90.00
_cell_angle_beta 90.00
_cell_angle_gamma 120.00
_symmetry_space_group_name_H-M 'P 63 m c'
_symmetry_Int_Tables_number 186
_symmetry_space_group_name_Hall 'P 6c -2c'
loop_
_atom_site_label
_atom_site_type_symbol
_atom_site_fract_x
_atom_site_fract_y
_atom_site_fract_z
_atom_site_occupancy
Li1 Li 0.0000 0.0000 0.0000 1
Al1 Al 0.3333 0.6667 0.3165 1
Pb1 Pb 0.3333 0.6667 0.7015 1
# Total magnetic moment, μB/atom: 0.00
# Formation energy from the elements, eV per atom: -0.0206
# ρ, kg/m3: 5711

2.
# LiAlPb | Alexandria | PBE | optimized geometry
data_LiAlPb
_chemical_formula_sum 'Li4 Al4 Pb4'
_cell_length_a 9.414
_cell_length_b 4.088
_cell_length_c 7.439
_cell_angle_alpha 90.00
_cell_angle_beta 111.34
_cell_angle_gamma 90.00
_symmetry_space_group_name_H-M 'C 1 2/m 1'
_symmetry_Int_Tables_number 12
loop_
_symmetry_equiv_pos_as_xyz
'x,y,z'
'-x,-y,-z'
'-x,y,-z'
'x,-y,z'
'x+1/2,y+1/2,z'
'-x+1/2,-y+1/2,-z'
'-x+1/2,y+1/2,-z'
'x+1/2,-y+1/2,z'
loop_
_atom_site_label
_atom_site_type_symbol
_atom_site_fract_x
_atom_site_fract_y
_atom_site_fract_z
_atom_site_occupancy
Li1 Li 0.007 0.000 0.283 1
Al1 Al 0.160 0.500 0.544 1
Pb1 Pb 0.182 0.500 0.142 1
# Total magnetic moment, μB/atom: 0.00
# Formation energy from the elements, eV per atom: -0.0430
# ρ, kg/m3: 6007

3.
# Li4AlPb | Alexandria | PBE | optimized geometry
data_Li4AlPb
_chemical_formula_sum 'Li16 Al4 Pb4'
_cell_length_a 7.652
_cell_length_b 7.652
_cell_length_c 7.652
_cell_angle_alpha 90.00
_cell_angle_beta 90.00
_cell_angle_gamma 90.00
_symmetry_space_group_name_H-M 'F -4 3 m'
_symmetry_Int_Tables_number 216
_symmetry_space_group_name_Hall 'F -4 2 3'
loop_
_atom_site_label
_atom_site_type_symbol
_atom_site_fract_x
_atom_site_fract_y
_atom_site_fract_z
_atom_site_occupancy
Li1 Li 0.124 0.124 0.376 1
Al1 Al 0.250 0.250 0.750 1
Pb1 Pb 0.000 0.000 0.000 1
# Total magnetic moment, μB/atom: 0.07
# Formation energy from the elements, eV per atom: -0.0258
# ρ, kg/m3: 3883
# Distance to the lowest polymorph of the same formula, meV/atom: 171.6

4.
# LiAl2Pb | Alexandria | PBE | optimized geometry
data_LiAl2Pb
_chemical_formula_sum 'Li4 Al8 Pb4'
_cell_length_a 6.923
_cell_length_b 6.923
_cell_length_c 6.923
_cell_angle_alpha 90.00
_cell_angle_beta 90.00
_cell_angle_gamma 90.00
_symmetry_space_group_name_H-M 'F -4 3 m'
_symmetry_Int_Tables_number 216
_symmetry_space_group_name_Hall 'F -4 2 3'
loop_
_atom_site_label
_atom_site_type_symbol
_atom_site_fract_x
_atom_site_fract_y
_atom_site_fract_z
_atom_site_occupancy
Li1 Li 0.000 0.000 0.000 1
Al1 Al 0.000 0.000 0.500 1
Al2 Al 0.250 0.250 0.250 1
Pb1 Pb 0.250 0.250 0.750 1
# Total magnetic moment, μB/atom: 0.00
# Formation energy from the elements, eV per atom: 0.1149
# ρ, kg/m3: 5366

5.
# LiAl2Pb | Alexandria | PBE | optimized geometry
data_LiAl2Pb
_chemical_formula_sum 'Li2 Al4 Pb2'
_cell_length_a 3.558
_cell_length_b 4.498
_cell_length_c 10.182
_cell_angle_alpha 90.00
_cell_angle_beta 90.00
_cell_angle_gamma 90.00
_symmetry_space_group_name_H-M 'I m m m'
_symmetry_Int_Tables_number 71
_symmetry_space_group_name_Hall '-I 2 2'
loop_
_atom_site_label
_atom_site_type_symbol
_atom_site_fract_x
_atom_site_fract_y
_atom_site_fract_z
_atom_site_occupancy
Li1 Li 0.000 0.000 0.000 1
Al1 Al 0.000 0.500 0.262 1
Pb1 Pb 0.000 0.000 0.500 1
# Total magnetic moment, μB/atom: 0.00
# Formation energy from the elements, eV per atom: 0.0657
# ρ, kg/m3: 5464

6.
# LiAlPb | Alexandria | PBE | optimized geometry
data_LiAlPb
_chemical_formula_sum 'Li4 Al4 Pb4'
_cell_length_a 5.476
_cell_length_b 7.172
_cell_length_c 7.152
_cell_angle_alpha 90.00
_cell_angle_beta 110.11
_cell_angle_gamma 90.00
_symmetry_space_group_name_H-M 'P 1 21/c 1'
_symmetry_Int_Tables_number 14
loop_
_symmetry_equiv_pos_as_xyz
'x,y,z'
'-x,-y,-z'
'-x,y+1/2,-z+1/2'
'x,-y+1/2,z+1/2'
loop_
_atom_site_label
_atom_site_type_symbol
_atom_site_fract_x
_atom_site_fract_y
_atom_site_fract_z
_atom_site_occupancy
Li1 Li 0.160 0.178 0.040 1
Al1 Al 0.009 0.504 0.817 1
Pb1 Pb 0.409 0.692 0.628 1
# Total magnetic moment, μB/atom: 0.00
# Formation energy from the elements, eV per atom: 0.0466
# ρ, kg/m3: 6072

7.
# LiAl2Pb2 | Alexandria | PBE | optimized geometry
data_LiAl2Pb2
_chemical_formula_sum 'Li2 Al4 Pb4'
_cell_length_a 3.929
_cell_length_b 3.929
_cell_length_c 16.252
_cell_angle_alpha 90.00
_cell_angle_beta 90.00
_cell_angle_gamma 90.00
_symmetry_space_group_name_H-M 'I 4/m m m'
_symmetry_Int_Tables_number 139
_symmetry_space_group_name_Hall '-I 4 2'
loop_
_atom_site_label
_atom_site_type_symbol
_atom_site_fract_x
_atom_site_fract_y
_atom_site_fract_z
_atom_site_occupancy
Li1 Li 0.000 0.000 0.000 1
Al1 Al 0.000 0.500 0.250 1
Pb1 Pb 0.000 0.000 0.391 1
# Total magnetic moment, μB/atom: 0.00
# Formation energy from the elements, eV per atom: 0.0837
# ρ, kg/m3: 6292
# Distance to the lowest polymorph of the same formula, meV/atom: 0.0

8.
# LiAl3Pb | Alexandria | PBE | optimized geometry
data_LiAl3Pb
_chemical_formula_sum 'Li1 Al3 Pb1'
_cell_length_a 4.746
_cell_length_b 4.746
_cell_length_c 4.746
_cell_angle_alpha 90.00
_cell_angle_beta 90.00
_cell_angle_gamma 90.00
_symmetry_space_group_name_H-M 'P m -3 m'
_symmetry_Int_Tables_number 221
_symmetry_space_group_name_Hall '-P 4 2 3'
loop_
_atom_site_label
_atom_site_type_symbol
_atom_site_fract_x
_atom_site_fract_y
_atom_site_fract_z
_atom_site_occupancy
Li1 Li 0.000 0.000 0.000 1
Al1 Al 0.000 0.000 0.500 1
Pb1 Pb 0.500 0.500 0.500 1
# Total magnetic moment, μB/atom: 0.00
# Formation energy from the elements, eV per atom: 0.4456
# ρ, kg/m3: 4582
# Distance to the lowest polymorph of the same formula, meV/atom: 0.0